(1)
GdZrTlZn, relaxed, DFT PBE; DOS(E_F) = 0.680 states/eV/atom; spin magnetization = 7.09 μB/f.u.; raw total energy = -26.876 eV per cell
1.0
5.089 0.000 0.000
2.545 4.407 0.000
2.545 1.469 4.155
Tl Gd Zn Zr
1 1 1 1
Cartesian
5.089 2.938 2.078 Tl
7.634 4.407 3.116 Gd
0.000 0.000 0.000 Zn
2.545 1.469 1.039 Zr



(2)
GdZrTl, relaxed, DFT PBE; polymorph energy (0 for the lowest one) = 0.0 meV per atom; DOS(E_F) = 0.969 states/eV/atom; spin magnetization = 7.08 μB/f.u.
1.0
3.454 0.000 0.000
0.000 3.454 0.000
-1.727 -1.727 6.646
Tl Gd Zr
1 1 1
Cartesian
1.727 1.727 1.645 Tl
1.727 1.727 5.988 Gd
0.000 0.000 3.665 Zr



(3)
GdZrTl2, relaxed, DFT PBE; polymorph energy (0 for the lowest one) = 0.0 meV per atom; DOS(E_F) = 1.048 states/eV/atom; spin magnetization = 7.44 μB/f.u.
1.0
-0.475 -0.912 3.187
3.111 -1.234 0.111
3.055 7.946 2.729
Tl Gd Zr
2 1 1
Cartesian
2.326 6.051 2.078 Tl
0.729 1.896 0.651 Tl
2.845 2.900 3.014 Gd
1.318 -1.073 1.649 Zr



(4)
GdZrTl2, relaxed, DFT PBE; polymorph energy (0 for the lowest one) = 99.6 meV per atom; DOS(E_F) = 1.211 states/eV/atom; spin magnetization = 6.54 μB/f.u.
1.0
5.244 0.000 0.000
2.622 4.542 0.000
2.622 1.514 4.282
Tl Gd Zr
2 1 1
Cartesian
2.622 1.514 1.070 Tl
7.866 4.542 3.211 Tl
0.000 0.000 0.000 Gd
5.244 3.028 2.141 Zr



(5)
GdZrTl, relaxed, DFT PBE; polymorph energy (0 for the lowest one) = 112.7 meV per atom; DOS(E_F) = 1.340 states/eV/atom; spin magnetization = 7.43 μB/f.u.
1.0
-3.447 0.127 0.480
0.603 -1.803 4.809
0.066 5.096 -0.878
Tl Gd Zr
1 1 1
Cartesian
-2.445 0.603 3.313 Tl
-0.905 2.839 1.178 Gd
-2.874 0.106 0.400 Zr



(6)
GdZrTl2, relaxed, DFT PBE; polymorph energy (0 for the lowest one) = 55.5 meV per atom; DOS(E_F) = 0.773 states/eV/atom; spin magnetization = 8.41 μB/f.u.
1.0
-3.174 -2.803 -1.225
2.826 -1.667 -3.508
1.768 -3.311 2.997
Tl Gd Zr
2 1 1
Cartesian
0.884 -1.656 1.499 Tl
1.413 -0.833 -1.754 Tl
0.710 -3.891 -0.868 Gd
-1.587 -1.402 -0.613 Zr



(7)
GdTm2, relaxed, DFT PBE; polymorph energy (0 for the lowest one) = 214.2 meV per atom; DOS(E_F) = 3.036 states/eV/atom; spin magnetization = 9.45 μB/f.u.
1.0
-5.722 2.357 -2.165
-5.568 -1.566 3.086
-3.205 4.536 3.483
Gd Tm
2 4
Cartesian
0.000 0.000 0.000 Gd
-3.624 1.332 1.101 Gd
-6.198 2.151 3.835 Tm
-6.275 4.113 1.209 Tm
-9.059 3.330 2.752 Tm
-7.457 1.061 1.011 Tm



(8)
Gd3Tm, relaxed, DFT PBE; polymorph energy (0 for the lowest one) = 0.0 meV per atom; DOS(E_F) = 1.536 states/eV/atom; spin magnetization = 23.31 μB/f.u.
1.0
3.612 0.000 0.000
0.000 6.241 0.000
-1.806 -3.121 5.748
Gd Tm
3 1
Cartesian
0.000 3.111 2.892 Gd
1.806 2.084 0.000 Gd
1.806 -0.009 2.857 Gd
0.000 5.216 0.000 Tm



(9)
GdTm2, relaxed, DFT PBE; polymorph energy (0 for the lowest one) = 0.0 meV per atom; DOS(E_F) = 1.528 states/eV/atom; spin magnetization = 7.29 μB/f.u.
1.0
-2.120 1.699 2.242
0.842 -2.296 2.536
6.318 4.661 -0.325
Gd Tm
1 2
Cartesian
0.000 0.000 0.000 Gd
1.277 1.174 3.086 Tm
3.763 2.891 1.368 Tm



(10)
Gd5Tm, relaxed, DFT PBE; DOS(E_F) = 2.032 states/eV/atom; spin magnetization = 36.80 μB/f.u.; raw total energy = -74.623 eV per cell
1.0
5.057 0.000 0.000
0.000 5.050 0.000
0.000 -2.525 7.535
Gd Tm
5 1
Cartesian
0.000 2.525 2.492 Gd
0.000 0.000 5.044 Gd
2.528 2.525 0.000 Gd
2.528 0.000 2.495 Gd
2.528 2.525 5.040 Gd
0.000 0.000 0.000 Tm



(11)
Gd3Tm, relaxed, DFT PBE; polymorph energy (0 for the lowest one) = 42.2 meV per atom; DOS(E_F) = 2.041 states/eV/atom; spin magnetization = 22.10 μB/f.u.
1.0
-4.983 0.088 -0.665
-0.077 -5.027 -0.087
-0.666 -0.076 4.983
Gd Tm
3 1
Cartesian
-0.372 -2.551 2.448 Gd
-2.825 0.006 2.159 Gd
-2.530 -2.469 -0.376 Gd
0.000 0.000 0.000 Tm



(12)
Gd6Tm, relaxed, DFT PBE; DOS(E_F) = 1.494 states/eV/atom; spin magnetization = 43.13 μB/f.u.; raw total energy = -79.415 eV per cell
1.0
-3.538 -5.768 1.320
3.688 -0.835 -5.765
4.240 1.351 5.266
Gd Tm
6 1
Cartesian
4.002 -1.393 -1.361 Gd
2.057 -3.172 -2.347 Gd
4.140 -0.846 1.397 Gd
0.388 -3.859 2.182 Gd
2.333 -2.080 3.168 Gd
0.250 -4.406 -0.576 Gd
0.000 0.000 0.000 Tm



(13)
Gd3Tm, relaxed, DFT PBE; polymorph energy (0 for the lowest one) = 686.0 meV per atom; DOS(E_F) = 2.178 states/eV/atom; spin magnetization = 8.03 μB/f.u.
1.0
-1.403 -4.330 0.466
2.281 -1.148 -3.797
4.775 1.429 5.194
Gd Tm
3 1
Cartesian
0.439 -2.739 -1.666 Gd
2.585 -0.649 1.749 Gd
3.068 -3.400 0.114 Gd
0.000 0.000 0.000 Tm



(14)
Gd3Tm, relaxed, DFT PBE; polymorph energy (0 for the lowest one) = 98.5 meV per atom; DOS(E_F) = 1.982 states/eV/atom; spin magnetization = 23.31 μB/f.u.
1.0
-4.977 0.867 -2.549
-3.205 -4.408 -1.521
-4.819 -1.080 2.761
Gd Tm
3 1
Cartesian
0.000 0.000 0.000 Gd
-9.751 -3.466 -0.982 Gd
-3.250 -1.155 -0.327 Gd
-6.501 -2.311 -0.655 Tm



(15)
GdTm2V, relaxed, DFT PBE; DOS(E_F) = 1.185 states/eV/atom; spin magnetization = 10.70 μB/f.u.; raw total energy = -31.412 eV per cell
1.0
3.554 0.000 0.000
0.000 3.554 0.000
0.000 0.000 8.554
Gd Tm V
1 2 1
Cartesian
1.777 1.777 4.277 Gd
0.000 0.000 6.867 Tm
0.000 0.000 1.687 Tm
1.777 1.777 0.000 V